Computed, not measured: a geometry-optimized Li2CeBr6 structure at the PBE level of DFT.

Output
E_form (uncorrected) ... -1543 meV/atom
Crystal system ... monoclinic

Cell lengths 6.577, 7.002, 11.871 Å; angles 89.94, 90.00, 90.00 degrees
Fractional positions:
Li  0.501  0.000  0.170
Li  0.001  0.500  0.330
Li  0.999  0.500  0.670
Li  0.499  0.000  0.830
Ce  0.500  0.500  0.000
Ce  0.000  0.000  0.500
Br  0.238  0.173  0.668
Br  0.241  0.173  0.333
Br  0.269  0.165  0.000
Br  0.769  0.335  0.500
Br  0.741  0.327  0.167
Br  0.738  0.327  0.832
Br  0.762  0.827  0.332
Br  0.759  0.827  0.667
Br  0.731  0.835  0.000
Br  0.231  0.665  0.500
Br  0.259  0.673  0.833
Br  0.262  0.673  0.168


Computed, not measured: a geometry-optimized K3Rb2NpO6 structure at the PBE level of DFT.

Output
E_form (uncorrected) ... -2036 meV/atom
Crystal system ... monoclinic

Cell lengths 6.785, 6.785, 6.483 Å; angles 100.65, 100.65, 119.75 degrees
Fractional positions:
K  0.158  0.842  0.500
K  0.842  0.158  0.500
K  0.500  0.500  0.500
Rb  0.333  0.667  0.000
Rb  0.667  0.333  0.000
Np  0.000  0.000  0.000
O  0.933  0.688  0.795
O  0.820  0.820  0.191
O  0.067  0.312  0.205
O  0.688  0.933  0.795
O  0.180  0.180  0.809
O  0.312  0.067  0.205


Computed, not measured: a geometry-optimized Tl2InFe structure at the PBE level of DFT.

Output
E_form ... 135 kJ/mol of formula units
Density of states at the Fermi level ... 3.36 states/eV per cell
Crystal system ... monoclinic

Cell lengths 3.096, 4.552, 7.344 Å; angles 71.76, 90.00, 90.00 degrees
Fractional positions:
Fe  0.000  0.737  0.401
In  0.500  0.573  0.730
Tl  0.000  0.936  0.003
Tl  0.500  0.254  0.367


Computed, not measured: a geometry-optimized NdGa4Pd3 structure at the PBE level of DFT.

Output
E_form ... -485 kJ/mol of formula units
Density of states at the Fermi level ... 3.58 states/eV per cell
Crystal system ... tetragonal

Cell lengths 4.346, 4.346, 8.092 Å; angles 90.00, 90.00, 90.00 degrees
Fractional positions:
Nd  0.000  0.000  0.500
Pd  0.000  0.000  0.000
Pd  0.500  0.500  0.337
Pd  0.500  0.500  0.663
Ga  0.000  0.500  0.176
Ga  0.000  0.500  0.824
Ga  0.500  0.000  0.824
Ga  0.500  0.000  0.176


Computed, not measured: a geometry-optimized Sm5Gd structure at the PBE level of DFT.

Output
E_form ... 7 kJ/mol of formula units
Density of states at the Fermi level ... 9.03 states/eV per cell
Crystal system ... orthorhombic

Cell lengths 5.125, 5.119, 8.103 Å; angles 108.41, 90.00, 90.00 degrees
Fractional positions:
Gd  0.000  0.000  0.000
Sm  0.000  0.667  0.333
Sm  0.000  0.333  0.667
Sm  0.500  0.500  0.000
Sm  0.500  0.166  0.333
Sm  0.500  0.834  0.667


Computed, not measured: a geometry-optimized Nb2CuS4 structure at the PBE level of DFT.

Output
E_form (uncorrected) ... -619 meV/atom
Density of states at the Fermi level ... 13.75 states/eV per cell
Crystal system ... orthorhombic

Cell lengths 3.359, 10.066, 13.557 Å; angles 90.00, 90.00, 90.00 degrees
Fractional positions:
Nb  0.250  0.139  0.402
Nb  0.750  0.861  0.598
Nb  0.750  0.361  0.902
Nb  0.250  0.639  0.098
Nb  0.250  0.485  0.589
Nb  0.750  0.515  0.411
Nb  0.750  0.015  0.089
Nb  0.250  0.985  0.911
Cu  0.250  0.253  0.177
Cu  0.750  0.747  0.823
Cu  0.750  0.247  0.677
Cu  0.250  0.753  0.323
S  0.250  0.374  0.324
S  0.750  0.626  0.676
S  0.750  0.126  0.824
S  0.250  0.874  0.176
S  0.250  0.376  0.759
S  0.750  0.624  0.241
S  0.750  0.124  0.259
S  0.250  0.876  0.741
S  0.250  0.052  0.581
S  0.750  0.948  0.419
S  0.750  0.448  0.081
S  0.250  0.552  0.919
S  0.250  0.193  0.011
S  0.750  0.807  0.989
S  0.750  0.307  0.511
S  0.250  0.693  0.489